VASP calculation (PBE with a Hubbard U) on an optimized crystal structure of NiPd2RuO.

Computed properties:
E = -4.65 eV/atom

Lattice parameters (Å, degrees): 4.8015 4.8015 3.3119 90.00 90.00 90.00
Last column: nearest neighbours and their distance in Å.
Space group P4/mmm (No. 123)
Inequivalent atoms, fractional coordinates:
Ni 0.0000 0.0000 0.0000 [1 per cell]  2 O 1.66
Pd 0.0000 0.5000 0.0000 [2 per cell]  2 Ni 2.40
Ru 0.5000 0.5000 0.5000 [1 per cell]  8 Pd 2.92
O 0.0000 0.0000 0.5000 [1 per cell]  2 Ni 1.66